No. 1
The following is a DFT calculation (PBE) of ZrCo2SiSb after structural relaxation.

```
5
Lattice="4.2636 0.0000 0.0000 0.0000 5.0391 0.0000 0.0000 0.0000 4.2636" Properties=species:S:1:pos:R:3 pbc="T T T"
Zr 0.0000 2.5196 0.0000
Sb 2.1318 2.5196 2.1318
Co 2.1318 0.0000 0.0000
Co 0.0000 0.0000 2.1318
Si 0.0000 0.0000 0.0000
```

Results
* formation energy (no corrections): 146 meV per atom

***

No. 2
The following is a DFT calculation (PBE) of PuSi2Pt4 after structural relaxation.

```
14
Lattice="-0.2635 0.0073 -3.8493 6.9371 -3.5499 -0.4817 -3.5425 -6.9538 0.2293" Properties=species:S:1:pos:R:3 pbc="T T T"
Pt -0.9395 -4.6332 -1.8781
Pt 3.2349 -3.2773 -2.1614
Pt 1.4285 -8.8308 -0.1146
Pt -0.6139 -2.5110 0.0373
Pt 1.9661 -1.6730 -0.1378
Pt 4.0085 -7.9927 -0.2896
Pt 4.0706 -5.8632 -2.2235
Pt -0.1038 -7.2191 -1.9403
Si 2.3294 -7.6118 -2.1076
Si -1.1844 -6.1879 0.0693
Si 0.8017 -2.8846 -1.9940
Si 4.5790 -4.3159 -0.3217
Pu -0.1318 0.0037 -1.9246
Pu 1.6973 -5.2519 -0.1262
```

Results
* formation energy (no corrections): -803 meV per atom

***

No. 3
The following is a DFT calculation (PBE) of GeRh2Pb after structural relaxation.

```
8
Lattice="5.6988 0.0000 0.0000 0.0000 5.6988 0.0000 2.8494 2.8494 5.9698" Properties=species:S:1:pos:R:3 pbc="T T T"
Ge 2.8494 2.8494 0.0000
Ge 2.8494 5.6988 2.9849
Rh 3.9977 1.4247 1.4924
Rh 4.2741 4.5504 4.4773
Rh 7.1235 6.8471 4.4773
Rh 1.7010 4.2741 1.4924
Pb 5.6988 2.8494 2.9849
Pb 0.0000 0.0000 0.0000
```

Results
* ΔE_f: 0.20 eV per atom

***

No. 4
The following is a DFT calculation (PBE) of SmB2W after structural relaxation.

```
4
Lattice="-3.1293 -0.1761 -1.2895 -1.3324 -3.0093 -0.8092 -3.7028 -1.5444 4.7429" Properties=species:S:1:pos:R:3 pbc="T T T"
B -1.9197 -1.1560 0.3627
B -6.2448 -3.5738 2.2814
W 0.0000 0.0000 0.0000
Sm -4.0822 -2.3649 1.3221
```

Results
* ΔE_f: 0.01 eV per atom

***

no.,E (eV per atom)
1,-6.315
2,-7.851
3,-5.558
4,-7.744